This record from Alexandria via LeMat-Bulk describes an optimized crystal structure of Sc7CBr12. The functional is PBEsol.

Values from the calculation:
Formation energy (no corrections) ... -1564 meV per atom
Volume ... 481.0 Å³/cell
DOS at the Fermi energy ... 0.61 states/eV per atom
SG ... R3, No. 146
E ... -0.4028 Ry per atom

a b c (Å): 8.3856 8.3856 8.3856
angles (deg): 107.73 107.73 107.73
Fractional positions:
Sc 0.9761 0.7081 0.9083
Br 0.0788 0.6921 0.2316
Br 0.8435 0.6163 0.5406
Br 0.5406 0.8435 0.6163
Sc 0.7081 0.9083 0.9761
Br 0.2316 0.0788 0.6921
C 0.0005 0.0005 0.0005
Br 0.4705 0.1470 0.3895
Sc 0.4794 0.4794 0.4794
Br 0.3146 0.7774 0.9241
Sc 0.0396 0.3001 0.1059
Br 0.7774 0.9241 0.3146
Br 0.6921 0.2316 0.0788
Br 0.1470 0.3895 0.4705
Sc 0.9083 0.9761 0.7081
Br 0.3895 0.4705 0.1470
Sc 0.3001 0.1059 0.0396
Br 0.6163 0.5406 0.8435
Br 0.9241 0.3146 0.7774
Sc 0.1059 0.0396 0.3001

---

This record from Alexandria via LeMat-Bulk describes an optimized crystal structure of SrCSeBr2. The functional is PBEsol.

Values from the calculation:
Formation energy (no corrections) ... -81 meV per atom
Volume ... 108.1 Å³/cell
DOS at the Fermi energy ... 0.23 states/eV per atom
SG ... P4/mmm, No. 123
E ... -0.2864 Ry per atom

a b c (Å): 4.4824 4.9117 4.9117
angles (deg): 90.00 90.00 90.00
Fractional positions:
Br 0.0000 0.0000 0.5000
C 0.0000 0.0000 0.0000
Br 0.0000 0.5000 0.0000
Se 0.5000 0.0000 0.0000
Sr 0.5000 0.5000 0.5000

---

This record from Alexandria via LeMat-Bulk describes an optimized crystal structure of TiCSe2Br. The functional is PBEsol.

Values from the calculation:
Formation energy (no corrections) ... 1007 meV per atom
Volume ... 117.1 Å³/cell
DOS at the Fermi energy ... 1.08 states/eV per atom
SG ... P4/mmm, No. 123
E ... -0.3308 Ry per atom

a b c (Å): 4.8563 4.8563 4.9633
angles (deg): 90.00 90.00 90.00
Last column: magnetic moment on the atom in μB.
Fractional positions:
C 0.5000 0.5000 0.5000  0.85
Ti 0.0000 0.0000 0.0000  0.17
Br 0.0000 0.0000 0.5000  -0.03
Se 0.0000 0.5000 0.0000  -0.17
Se 0.5000 0.0000 0.0000  -0.17

---

The lowest volume belongs to which entry?
SrCSeBr2